VASP calculation (PBE-GGA) on ThSc2Hg3 after structural relaxation.

a b c (Å): 3.494 3.494 11.629
angles (deg): 90.00 90.00 90.00
Sites, in units of the cell vectors:
1 Th 0.500 0.500 0.500
2 Sc 0.500 0.500 0.847
3 Sc 0.500 0.500 0.153
4 Hg 0.000 0.000 0.000
5 Hg 0.000 0.000 0.697
6 Hg 0.000 0.000 0.303

VASP calculation (PBE-GGA) on Tb2Pm5Ho4 after structural relaxation.

a b c (Å): 3.520 9.117 12.705
angles (deg): 111.03 97.96 90.00
Sites, in units of the cell vectors:
1 Tb 0.269 0.269 0.538
2 Tb 0.731 0.731 0.462
3 Pm 0.854 0.055 0.708
4 Pm 0.854 0.654 0.708
5 Pm 0.146 0.346 0.292
6 Pm 0.146 0.945 0.292
7 Pm 0.500 0.000 0.000
8 Ho 0.000 0.312 0.000
9 Ho 0.597 0.597 0.193
10 Ho 0.000 0.688 0.000
11 Ho 0.403 0.403 0.807

energy above the most stable polymorph in this dataset = 127 meV/atom

VASP calculation (PBE-GGA) on Ac5InAu4 after structural relaxation.

a b c (Å): 3.925 3.925 19.977
angles (deg): 90.00 90.00 90.00
Sites, in units of the cell vectors:
1 Ac 0.500 0.500 0.111
2 Ac 0.500 0.500 0.305
3 Ac 0.500 0.500 0.500
4 Ac 0.500 0.500 0.695
5 Ac 0.500 0.500 0.889
6 In 0.000 0.000 0.000
7 Au 0.000 0.000 0.207
8 Au 0.000 0.000 0.403
9 Au 0.000 0.000 0.597
10 Au 0.000 0.000 0.793

What are the total magnetic moment values for these records? In order: 0.0, 0.0, 0.0 μB/cell.
What are the total DFT energy (no corrections) values for these records? In order: -23.15, -49.13, -43.43 eV/cell.